(1)
The following is a GGA-PBEsol calculation of an optimized crystal structure of In2NiMo, from the Alexandria database.

Properties
- calculated volume (Å³ per atom) = 16.4
- energy above the lowest structure with this stoichiometry (eV/f.u.) = 0.00
- energy relative to the elements (eV/atom) = 0.183

```
data_In2NiMo
_chemical_formula_sum 'In2 Ni1 Mo1'
_cell_length_a 4.312
_cell_length_b 4.312
_cell_length_c 3.523
_cell_angle_alpha 90.00
_cell_angle_beta 90.00
_cell_angle_gamma 90.00
_space_group_name_H-M_alt 'P 4/m m m'
_space_group_IT_number 123
_space_group_name_Hall '-P 4 2'
loop_
_atom_site_label
_atom_site_fract_x
_atom_site_fract_y
_atom_site_fract_z
In1 0.000 0.500 0.000
Ni1 0.000 0.000 0.500
Mo1 0.500 0.500 0.500
```

(2)
The following is a GGA-PBEsol calculation of an optimized crystal structure of HfCoRh2Br, from the Alexandria database.

Properties
- calculated volume (Å³ per atom) = 17.2
- ΔE_f (raw) (eV per formula unit) = 3.67

```
data_HfCoRh2Br
_chemical_formula_sum 'Hf1 Co1 Rh2 Br1'
_cell_length_a 4.553
_cell_length_b 4.553
_cell_length_c 4.153
_cell_angle_alpha 90.00
_cell_angle_beta 90.00
_cell_angle_gamma 90.00
_space_group_name_H-M_alt 'P 4/m m m'
_space_group_IT_number 123
_space_group_name_Hall '-P 4 2'
loop_
_atom_site_label
_atom_site_fract_x
_atom_site_fract_y
_atom_site_fract_z
Hf1 0.000 0.000 0.000
Co1 0.500 0.500 0.000
Rh1 0.000 0.500 0.500
Br1 0.500 0.500 0.500
```

(3)
The following is a GGA-PBEsol calculation of an optimized crystal structure of SiPPb, from the Alexandria database.

Properties
- calculated volume (Å³ per atom) = 22.3
- ΔE_f (raw) (eV per formula unit) = 1.75

```
data_SiPPb
_chemical_formula_sum 'Si4 P4 Pb4'
_cell_length_a 6.448
_cell_length_b 6.448
_cell_length_c 6.448
_cell_angle_alpha 90.00
_cell_angle_beta 90.00
_cell_angle_gamma 90.00
_space_group_name_H-M_alt 'F -4 3 m'
_space_group_IT_number 216
_space_group_name_Hall 'F -4 2 3'
loop_
_atom_site_label
_atom_site_fract_x
_atom_site_fract_y
_atom_site_fract_z
Si1 0.000 0.000 0.000
P1 0.250 0.250 0.250
Pb1 0.250 0.250 0.750
```

(4)
The following is a GGA-PBEsol calculation of an optimized crystal structure of Hg2IrRh, from the Alexandria database.

Properties
- calculated volume (Å³ per atom) = 16.6
- energy above the lowest structure with this stoichiometry (eV/f.u.) = 0.00
- energy relative to the elements (eV/atom) = 0.344

```
data_Hg2IrRh
_chemical_formula_sum 'Hg4 Ir2 Rh2'
_cell_length_a 9.134
_cell_length_b 2.916
_cell_length_c 5.060
_cell_angle_alpha 90.00
_cell_angle_beta 100.50
_cell_angle_gamma 90.00
_space_group_name_H-M_alt 'C 1 2/m 1'
_space_group_IT_number 12
_space_group_name_Hall '-C 2y'
loop_
_atom_site_label
_atom_site_fract_x
_atom_site_fract_y
_atom_site_fract_z
Hg1 0.249 0.000 0.248
Ir1 0.000 0.000 0.500
Rh1 0.000 0.500 0.000
```

(5)
The following is a GGA-PBEsol calculation of an optimized crystal structure of Zr2MnTe, from the Alexandria database.

Properties
- calculated volume (Å³ per atom) = 18.9
- ΔE_f (raw) (eV per formula unit) = -0.80

```
data_Zr2MnTe
_chemical_formula_sum 'Zr4 Mn2 Te2'
_cell_length_a 3.856
_cell_length_b 4.670
_cell_length_c 8.376
_cell_angle_alpha 90.00
_cell_angle_beta 90.00
_cell_angle_gamma 90.00
_space_group_name_H-M_alt 'I m m m'
_space_group_IT_number 71
_space_group_name_Hall '-I 2 2'
loop_
_atom_site_label
_atom_site_fract_x
_atom_site_fract_y
_atom_site_fract_z
Zr1 0.000 0.000 0.234
Mn1 0.000 0.500 0.500
Te1 0.000 0.500 0.000
```

(6)
The following is a GGA-PBEsol calculation of an optimized crystal structure of GaCN3, from the Alexandria database.

Properties
- calculated volume (Å³ per atom) = 7.6
- ΔE_f (raw) (eV per formula unit) = 10.35

```
data_GaCN3
_chemical_formula_sum 'Ga1 C1 N3'
_cell_length_a 3.363
_cell_length_b 3.363
_cell_length_c 3.363
_cell_angle_alpha 90.00
_cell_angle_beta 90.00
_cell_angle_gamma 90.00
_space_group_name_H-M_alt 'P m -3 m'
_space_group_IT_number 221
_space_group_name_Hall '-P 4 2 3'
loop_
_atom_site_label
_atom_site_fract_x
_atom_site_fract_y
_atom_site_fract_z
Ga1 0.000 0.000 0.000
C1 0.500 0.500 0.500
N1 0.000 0.500 0.500
```

(7)
The following is a GGA-PBEsol calculation of an optimized crystal structure of SrSiIO2, from the Alexandria database.

Properties
- calculated volume (Å³ per atom) = 17.7
- ΔE_f (raw) (eV per formula unit) = -5.13

```
data_SrSiIO2
_chemical_formula_sum 'Sr1 Si1 I1 O2'
_cell_length_a 4.139
_cell_length_b 4.139
_cell_length_c 5.160
_cell_angle_alpha 90.00
_cell_angle_beta 90.00
_cell_angle_gamma 90.00
_space_group_name_H-M_alt 'P 4/m m m'
_space_group_IT_number 123
_space_group_name_Hall '-P 4 2'
loop_
_atom_site_label
_atom_site_fract_x
_atom_site_fract_y
_atom_site_fract_z
Sr1 0.000 0.000 0.000
Si1 0.500 0.500 0.500
I1 0.500 0.500 0.000
O1 0.000 0.500 0.500
```

(8)
The following is a GGA-PBEsol calculation of an optimized crystal structure of ReTe2Ir, from the Alexandria database.

Properties
- calculated volume (Å³ per atom) = 18.1
- ΔE_f (raw) (eV per formula unit) = 2.96

```
data_ReTe2Ir
_chemical_formula_sum 'Re4 Te8 Ir4'
_cell_length_a 6.618
_cell_length_b 6.618
_cell_length_c 6.618
_cell_angle_alpha 90.00
_cell_angle_beta 90.00
_cell_angle_gamma 90.00
_space_group_name_H-M_alt 'F m -3 m'
_space_group_IT_number 225
_space_group_name_Hall '-F 4 2 3'
loop_
_atom_site_label
_atom_site_fract_x
_atom_site_fract_y
_atom_site_fract_z
Re1 0.000 0.000 0.000
Te1 0.250 0.250 0.250
Ir1 0.000 0.000 0.500
```

(9)
The following is a GGA-PBEsol calculation of an optimized crystal structure of KFeIr2, from the Alexandria database.

Properties
- calculated volume (Å³ per atom) = 19.6
- energy above the lowest structure with this stoichiometry (eV/f.u.) = 0.82
- energy relative to the elements (eV/atom) = 0.678

```
data_KFeIr2
_chemical_formula_sum 'K1 Fe1 Ir2'
_cell_length_a 2.709
_cell_length_b 4.210
_cell_length_c 7.021
_cell_angle_alpha 90.00
_cell_angle_beta 101.25
_cell_angle_gamma 90.00
_space_group_name_H-M_alt 'P 1 m 1'
_space_group_IT_number 6
_space_group_name_Hall 'P -2y'
loop_
_atom_site_label
_atom_site_fract_x
_atom_site_fract_y
_atom_site_fract_z
K1 0.000 0.000 0.000
Fe1 0.661 0.500 0.336
Ir1 0.315 0.500 0.641
Ir2 0.758 0.000 0.528
```

(10)
The following is a GGA-PBEsol calculation of an optimized crystal structure of Ag2ClF, from the Alexandria database.

Properties
- calculated volume (Å³ per atom) = 15.3
- energy above the lowest structure with this stoichiometry (eV/f.u.) = 0.00
- ΔE_f (raw) (eV per formula unit) = -2.36

```
data_Ag2ClF
_chemical_formula_sum 'Ag8 Cl4 F4'
_cell_length_a 6.262
_cell_length_b 6.262
_cell_length_c 6.262
_cell_angle_alpha 90.00
_cell_angle_beta 90.00
_cell_angle_gamma 90.00
_space_group_name_H-M_alt 'F m -3 m'
_space_group_IT_number 225
_space_group_name_Hall '-F 4 2 3'
loop_
_atom_site_label
_atom_site_fract_x
_atom_site_fract_y
_atom_site_fract_z
Ag1 0.250 0.250 0.250
Cl1 0.000 0.000 0.000
F1 0.000 0.000 0.500
```

Please write out number 6 again, unchanged.
The following is a GGA-PBEsol calculation of an optimized crystal structure of GaCN3, from the Alexandria database.

Properties
- calculated volume (Å³ per atom) = 7.6
- ΔE_f (raw) (eV per formula unit) = 10.35

```
data_GaCN3
_chemical_formula_sum 'Ga1 C1 N3'
_cell_length_a 3.363
_cell_length_b 3.363
_cell_length_c 3.363
_cell_angle_alpha 90.00
_cell_angle_beta 90.00
_cell_angle_gamma 90.00
_space_group_name_H-M_alt 'P m -3 m'
_space_group_IT_number 221
_space_group_name_Hall '-P 4 2 3'
loop_
_atom_site_label
_atom_site_fract_x
_atom_site_fract_y
_atom_site_fract_z
Ga1 0.000 0.000 0.000
C1 0.500 0.500 0.500
N1 0.000 0.500 0.500
```

> Look up the calculated volume of the ninth one.

19.6 Å³ per atom

> Look up the calculated volume of the eighth one.

18.1 Å³ per atom

> The highest calculated volume belongs to which entry?

SiPPb